[1]
## TiCuIrPt (PBE)

Data for a geometry-optimized TiCuIrPt structure.

abc: 4.333 4.333 4.333
angles: 60.00 60.00 60.00
Fractional coordinates of all 4 atoms:
Ir: 0.000 0.000 0.000
Cu: 0.750 0.750 0.750
Pt: 0.500 0.500 0.500
Ti: 0.250 0.250 0.250

Its calculated formation energy is -0.57 eV/atom. Its space-group type is F-43m, No. 216. As for the total energy: -7.298 eV/atom. The calculation puts the spin magnetization at 0.00 μB per cell.

---

[2]
## VCu2IrPt (PBE)

Data for a geometry-optimized VCu2IrPt structure.

abc: 4.375 4.494 4.375
angles: 90.00 90.00 90.00
Site moments in Bohr magnetons follow the coordinates.
Fractional coordinates of all 5 atoms:
Ir: 0.500 0.500 0.500  0.15
Cu: 0.000 0.000 0.500  0.13
Cu: 0.500 0.000 0.000  0.12
Pt: 0.000 0.500 0.000  0.03
V: 0.000 0.000 0.000  1.42

Its calculated formation energy is 1.44 eV/atom. Its space-group type is P4/mmm, No. 123. As for the total energy: -5.006 eV/atom. The calculation puts the spin magnetization at 1.96 μB per cell.

---

[3]
## VCuIrPt (PBE)

Data for a geometry-optimized VCuIrPt structure.

abc: 4.289 4.289 4.289
angles: 60.00 60.00 60.00
Site moments in Bohr magnetons follow the coordinates.
Fractional coordinates of all 4 atoms:
Ir: 0.250 0.250 0.250  0.06
Cu: 0.500 0.500 0.500  -0.01
Pt: 0.750 0.750 0.750  0.11
V: 0.000 0.000 0.000  0.55

Its calculated formation energy is -0.23 eV/atom. Its space-group type is F-43m, No. 216. As for the total energy: -7.256 eV/atom. The calculation puts the spin magnetization at 0.75 μB per cell.